Entry 1:
## RbBOs2 (PBE)

Data for RbBOs2 after structural relaxation.

Calculated values
energy	-99.16	eV for the cell shown
density of states at the Fermi level	19.1	states/eV/cell
M_tot	0.3420	μB/atom
density	8.866	g cm⁻³

a b c (Å): 4.9433 4.9433 14.6155
angles (deg): 90.00 90.00 90.00
Space group I4_1/amd (No. 141, origin choice 2)
Asymmetric unit:
Rb  0.0000  0.2500  0.3750
B  0.0000  0.2500  0.8750
Os  0.0000  0.0000  0.0000

=====

Entry 2:
## RbB3Os (PBE)

Data for RbB3Os after structural relaxation.

Calculated values
density of states at the Fermi level	0.1	states/eV/cell
M_tot	0.0000	μB/atom
energy above the most stable polymorph in this dataset	0.0	meV/atom
density	6.622	g cm⁻³

a b c (Å): 4.2591 4.2591 4.2591
angles (deg): 90.00 90.00 90.00
Space group Pm-3m (No. 221)
Asymmetric unit:
Rb  0.0000  0.0000  0.0000
B  0.0000  0.5000  0.5000
Os  0.5000  0.5000  0.5000

=====

Entry 3:
## Rb2BOsRh (PBE)

Data for Rb2BOsRh after structural relaxation.

Calculated values
energy	-19.69	eV for the cell shown
density of states at the Fermi level	4.8	states/eV/cell
M_tot	0.4309	μB/atom
density	5.197	g cm⁻³

a b c (Å): 6.1660 6.1660 3.9908
angles (deg): 90.00 90.00 90.00
Space group P4/mmm (No. 123)
Asymmetric unit:
Rb  0.0000  0.5000  0.0000
B  0.0000  0.0000  0.0000
Os  0.0000  0.0000  0.5000
Rh  0.5000  0.5000  0.5000

=====

> Number 2 is which compound?

RbB3Os

=====

> Look up the M_tot of the first one.

0.3420 μB/atom